No. 1
A plane-wave DFT calculation with PBE was carried out for La3Sb2O after structural relaxation.

Properties
Energy   -75.31 eV for the cell shown
Formation energy from raw total energies   -1612 meV per atom
SG   Cmc2_1 (36)
Total moment   0.01 Bohr magnetons per cell
Energy relative to the lowest polymorph listed for this composition   204.2 meV per atom

Lattice parameters (Å, degrees): 6.755 7.272 7.272 105.01 90.00 90.00
Fractional positions:
La 0.011 0.160 0.840
La 0.765 0.653 0.653
Sb 0.260 0.535 0.830
Sb 0.760 0.465 0.170
O 0.760 0.914 0.914
La 0.011 0.840 0.160
La 0.511 0.160 0.840
O 0.260 0.086 0.086
La 0.265 0.347 0.347
Sb 0.260 0.830 0.535
Sb 0.760 0.170 0.465
La 0.511 0.840 0.160

=====

No. 2
A plane-wave DFT calculation with PBE was carried out for La9Sb5O5 after structural relaxation.

Properties
Energy   -264.50 eV for the cell shown
Formation energy from raw total energies   -2237 meV per atom
SG   P4/n (85)
Total moment   0.00 Bohr magnetons per cell

Lattice parameters (Å, degrees): 10.474 10.474 9.400 90.00 90.00 90.00
Fractional positions:
La 0.604 0.704 0.343
O 0.724 0.379 0.910
La 0.500 0.000 0.671
O 0.224 0.879 0.090
La 0.419 0.772 0.002
La 0.204 0.896 0.343
Sb 0.903 0.803 0.299
Sb 0.403 0.303 0.701
La 0.772 0.581 0.998
La 0.919 0.272 0.998
La 0.396 0.296 0.343
La 0.228 0.419 0.998
Sb 0.697 0.403 0.299
La 0.728 0.919 0.002
O 0.000 0.500 0.073
Sb 0.803 0.097 0.701
O 0.276 0.621 0.910
O 0.879 0.776 0.910
Sb 0.303 0.597 0.299
La 0.796 0.104 0.343
La 0.704 0.396 0.657
La 0.581 0.228 0.002
La 0.272 0.081 0.002
O 0.500 0.000 0.927
O 0.621 0.724 0.090
O 0.121 0.224 0.910
Sb 0.000 0.500 0.689
La 0.296 0.604 0.657
Sb 0.097 0.197 0.299
Sb 0.197 0.903 0.701
La 0.104 0.204 0.657
La 0.081 0.728 0.998
O 0.379 0.276 0.090
O 0.776 0.121 0.090
La 0.896 0.796 0.657
La 0.000 0.500 0.329
Sb 0.500 0.000 0.311
Sb 0.597 0.697 0.701

=====

No. 3
A plane-wave DFT calculation with PBE was carried out for La5Sb2O12 after structural relaxation.

Properties
Energy   -145.59 eV for the cell shown
Formation energy from raw total energies   -2800 meV per atom
SG   C2/m (12)
Total moment   0.00 Bohr magnetons per cell

Lattice parameters (Å, degrees): 6.307 7.275 7.827 105.55 90.00 115.69
Fractional positions:
O 0.103 0.675 0.918
O 0.501 0.002 0.824
La 0.698 0.396 0.363
O 0.907 0.309 0.576
O 0.402 0.309 0.576
O 0.999 0.998 0.822
La 0.000 0.000 0.500
O 0.499 0.998 0.176
Sb 0.756 0.000 0.000
La 0.302 0.604 0.637
O 0.001 0.002 0.178
La 0.303 0.605 0.167
O 0.572 0.675 0.918
La 0.697 0.395 0.833
O 0.897 0.325 0.082
O 0.428 0.325 0.082
Sb 0.244 0.000 0.000
O 0.093 0.691 0.424
O 0.598 0.691 0.424

=====

No. 4
A plane-wave DFT calculation with PBE was carried out for La3Sb2O3 after structural relaxation.

Properties
Energy   -53.66 eV for the cell shown
Formation energy from raw total energies   -1970 meV per atom
SG   P-62m (189)
Total moment   0.00 Bohr magnetons per cell

Lattice parameters (Å, degrees): 3.166 8.414 8.414 120.00 90.00 90.00
Fractional positions:
O 0.000 0.000 0.812
La 0.500 0.241 0.000
O 0.000 0.188 0.188
La 0.500 0.759 0.759
La 0.500 0.000 0.241
O 0.000 0.812 0.000
Sb 0.000 0.667 0.333
Sb 0.000 0.333 0.667

=====

No. 5
A plane-wave DFT calculation with PBE was carried out for La3SbO3 after structural relaxation.

Properties
Energy   -107.46 eV for the cell shown
Formation energy from raw total energies   -2850 meV per atom
SG   C2/m (12)
Total moment   0.00 Bohr magnetons per cell
Energy relative to the lowest polymorph listed for this composition   0.0 meV per atom

Lattice parameters (Å, degrees): 7.266 7.266 12.411 62.71 62.71 32.92
Fractional positions:
La 0.845 0.845 0.207
O 0.190 0.190 0.589
O 0.564 0.564 0.800
La 0.155 0.155 0.793
Sb 0.879 0.879 0.681
La 0.380 0.380 0.444
O 0.436 0.436 0.200
O 0.810 0.810 0.411
Sb 0.121 0.121 0.319
La 0.620 0.620 0.556
O 0.162 0.162 0.988
La 0.628 0.628 0.101
La 0.372 0.372 0.899
O 0.838 0.838 0.012

=====

No. 6
A plane-wave DFT calculation with PBE was carried out for LaSbO4 after structural relaxation.

Properties
Energy   -172.48 eV for the cell shown
Formation energy from raw total energies   -2373 meV per atom
SG   P2_1/c (14)
Total moment   0.00 Bohr magnetons per cell

Lattice parameters (Å, degrees): 5.634 7.832 7.830 101.19 90.00 90.00
Fractional positions:
Sb 0.234 0.164 0.800
O 0.501 0.672 0.134
O 0.026 0.378 0.827
O 0.648 0.831 0.447
O 0.001 0.328 0.366
La 0.729 0.347 0.599
O 0.085 0.942 0.293
O 0.474 0.378 0.327
O 0.148 0.169 0.053
Sb 0.266 0.164 0.300
La 0.271 0.653 0.401
La 0.229 0.653 0.901
O 0.526 0.622 0.673
Sb 0.734 0.836 0.700
Sb 0.766 0.836 0.200
O 0.585 0.058 0.207
O 0.999 0.672 0.634
O 0.352 0.169 0.553
O 0.915 0.058 0.707
O 0.499 0.328 0.866
La 0.771 0.347 0.099
O 0.852 0.831 0.947
O 0.974 0.622 0.173
O 0.415 0.942 0.793

=====

No. 7
A plane-wave DFT calculation with PBE was carried out for LaSbO4 after structural relaxation.

Properties
Energy   -85.65 eV for the cell shown
Formation energy from raw total energies   -2324 meV per atom
SG   I4_1/a (88)
Total moment   0.00 Bohr magnetons per cell

Lattice parameters (Å, degrees): 5.463 5.463 7.050 112.80 112.80 90.00
Fractional positions:
O 0.332 0.417 0.329
O 0.088 0.668 0.671
Sb 0.500 0.500 0.000
O 0.167 0.247 0.829
O 0.997 0.912 0.329
O 0.418 0.833 0.171
O 0.753 0.338 0.171
Sb 0.250 0.750 0.500
La 0.750 0.250 0.500
La 0.000 0.000 0.000
O 0.583 0.003 0.671
O 0.662 0.582 0.829

=====

No. 8
A plane-wave DFT calculation with PBE was carried out for LaSb3O after structural relaxation.

Properties
Energy   -16.59 eV for the cell shown
Formation energy from raw total energies   1132 meV per atom
SG   Pm-3m (221)
Total moment   0.00 Bohr magnetons per cell
Energy relative to the lowest polymorph listed for this composition   1849.1 meV per atom

Lattice parameters (Å, degrees): 6.069 6.069 6.069 90.00 90.00 90.00
Fractional positions:
La 0.000 0.000 0.000
O 0.500 0.500 0.500
Sb 0.500 0.000 0.000
Sb 0.000 0.000 0.500
Sb 0.000 0.500 0.000

=====

No. 9
A plane-wave DFT calculation with PBE was carried out for La2Sb2O after structural relaxation.

Properties
Energy   -62.76 eV for the cell shown
Formation energy from raw total energies   -1665 meV per atom
SG   Cmc2_1 (36)
Total moment   0.00 Bohr magnetons per cell

Lattice parameters (Å, degrees): 4.125 6.407 11.369 90.00 100.45 90.00
Fractional positions:
La 0.593 0.603 0.186
Sb 0.794 0.020 0.588
Sb 0.010 0.293 0.020
Sb 0.990 0.793 0.980
La 0.171 0.024 0.343
La 0.407 0.103 0.814
Sb 0.206 0.520 0.412
O 0.367 0.425 0.734
La 0.829 0.524 0.657
O 0.633 0.925 0.266

=====

No. 10
A plane-wave DFT calculation with PBE was carried out for La2Sb2O7 after structural relaxation.

Properties
Energy   -78.82 eV for the cell shown
Formation energy from raw total energies   -2365 meV per atom
SG   P1 (1)
Total moment   0.00 Bohr magnetons per cell

Lattice parameters (Å, degrees): 4.009 7.574 7.811 61.48 59.59 90.04
Fractional positions:
O 0.197 0.885 0.535
Sb 0.621 0.789 0.206
O 0.743 0.201 0.470
La 0.490 0.762 0.743
O 0.707 0.625 0.056
O 0.260 0.348 0.956
La 0.451 0.251 0.259
O 0.042 0.290 0.662
O 0.742 0.604 0.454
O 0.249 0.962 0.954
Sb 0.497 0.283 0.706

=====

No. 11
A plane-wave DFT calculation with PBE was carried out for La3Sb2O after structural relaxation.

Properties
Energy   -155.53 eV for the cell shown
Formation energy from raw total energies   -1816 meV per atom
SG   Pnma (62)
Total moment   0.00 Bohr magnetons per cell
Energy relative to the lowest polymorph listed for this composition   0.0 meV per atom

Lattice parameters (Å, degrees): 4.473 9.063 17.736 90.00 90.00 90.00
Fractional positions:
O 0.250 0.869 0.864
O 0.750 0.131 0.136
Sb 0.750 0.759 0.046
Sb 0.750 0.089 0.712
La 0.250 0.017 0.107
O 0.750 0.631 0.364
La 0.250 0.330 0.769
La 0.750 0.483 0.607
La 0.250 0.645 0.928
O 0.250 0.369 0.636
La 0.750 0.983 0.893
La 0.750 0.170 0.269
Sb 0.250 0.741 0.546
Sb 0.250 0.911 0.288
La 0.750 0.670 0.231
Sb 0.750 0.259 0.454
La 0.250 0.145 0.572
La 0.250 0.830 0.731
Sb 0.250 0.241 0.954
Sb 0.750 0.589 0.788
La 0.750 0.855 0.428
La 0.250 0.517 0.393
Sb 0.250 0.411 0.212
La 0.750 0.355 0.072

=====

No. 12
A plane-wave DFT calculation with PBE was carried out for La4Sb5O after structural relaxation.

Properties
Energy   -55.86 eV for the cell shown
Formation energy from raw total energies   -1058 meV per atom
SG   C2/m (12)
Total moment   0.00 Bohr magnetons per cell

Lattice parameters (Å, degrees): 4.386 8.206 9.027 70.85 104.06 90.00
Fractional positions:
O 0.500 0.000 0.000
La 0.639 0.043 0.278
Sb 0.776 0.246 0.553
La 0.957 0.238 0.914
Sb 0.859 0.652 0.717
Sb 0.224 0.754 0.447
Sb 0.500 0.500 0.000
La 0.361 0.957 0.722
La 0.043 0.762 0.086
Sb 0.141 0.348 0.283

=====

No. 13
A plane-wave DFT calculation with PBE was carried out for La2SbO6 after structural relaxation.

Properties
Energy   -64.40 eV for the cell shown
Formation energy from raw total energies   -2297 meV per atom
SG   Immm (71)
Total moment   1.03 Bohr magnetons per cell
Energy relative to the lowest polymorph listed for this composition   138.5 meV per atom

Lattice parameters (Å, degrees): 4.112 5.522 6.540 114.97 108.33 90.00
Site moments in Bohr magnetons follow the coordinates.
Fractional positions:
O 0.500 0.190 0.000  0.39
La 0.332 0.332 0.665  0.02
O 0.144 0.907 0.289  0.01
Sb 0.000 0.000 0.000  -0.01
O 0.856 0.093 0.711  0.01
O 0.144 0.382 0.289  0.01
O 0.500 0.810 0.000  0.39
O 0.856 0.618 0.711  0.01
La 0.668 0.668 0.335  0.02

=====

No. 14
A plane-wave DFT calculation with PBE was carried out for LaSb2O after structural relaxation.

Properties
Energy   -40.86 eV for the cell shown
Formation energy from raw total energies   -575 meV per atom
SG   I4_1/amd (141)
Total moment   0.00 Bohr magnetons per cell

Lattice parameters (Å, degrees): 5.835 5.835 7.874 68.25 68.25 90.00
Fractional positions:
Sb 0.375 0.625 0.250
O 0.250 0.750 0.500
Sb 0.875 0.625 0.750
O 0.500 0.500 0.000
Sb 0.375 0.625 0.750
La 0.000 0.000 0.000
Sb 0.375 0.125 0.250
La 0.750 0.250 0.500

=====

No. 15
A plane-wave DFT calculation with PBE was carried out for La3SbO2 after structural relaxation.

Properties
Energy   -84.95 eV for the cell shown
Formation energy from raw total energies   -2275 meV per atom
SG   P2_1/m (11)
Total moment   0.00 Bohr magnetons per cell
Energy relative to the lowest polymorph listed for this composition   0.0 meV per atom

Lattice parameters (Å, degrees): 4.520 4.971 14.680 114.02 90.00 90.00
Fractional positions:
Sb 0.250 0.516 0.303
O 0.250 0.825 0.562
Sb 0.750 0.484 0.697
La 0.750 0.957 0.256
La 0.250 0.043 0.744
O 0.750 0.175 0.438
La 0.250 0.365 0.065
O 0.750 0.549 0.082
O 0.250 0.451 0.918
La 0.250 0.257 0.506
La 0.750 0.635 0.935
La 0.750 0.743 0.494

=====

No. 16
A plane-wave DFT calculation with PBE was carried out for La4Sb6O19 after structural relaxation.

Properties
Energy   -199.04 eV for the cell shown
Formation energy from raw total energies   -2083 meV per atom
SG   P1 (1)
Total moment   0.00 Bohr magnetons per cell

Lattice parameters (Å, degrees): 8.547 8.541 8.102 108.92 108.93 112.64
Fractional positions:
O 0.688 0.038 0.308
O 0.002 0.002 0.000
O 0.673 0.302 0.975
O 0.327 0.697 0.025
O 0.995 0.281 0.266
La 0.284 0.325 0.307
Sb 0.495 0.838 0.331
La 0.009 0.722 0.000
La 0.019 0.977 0.693
O 0.051 0.295 0.696
La 0.723 0.009 0.000
O 0.273 0.622 0.312
O 0.637 0.005 0.646
O 0.359 0.991 0.355
O 0.945 0.707 0.314
O 0.334 0.269 0.613
O 0.356 0.356 0.000
Sb 0.335 0.485 0.827
Sb 0.839 0.340 0.500
Sb 0.154 0.654 0.500
O 0.657 0.722 0.387
Sb 0.658 0.508 0.173
O 0.311 0.961 0.689
Sb 0.506 0.163 0.669
O 0.014 0.728 0.734
O 0.728 0.380 0.691
O 0.392 0.630 0.686
O 0.636 0.637 0.000
O 0.600 0.355 0.304

=====

No. 17
A plane-wave DFT calculation with PBE was carried out for La3SbO2 after structural relaxation.

Properties
Energy   -42.45 eV for the cell shown
Formation energy from raw total energies   -2271 meV per atom
SG   I4/mmm (139)
Total moment   0.00 Bohr magnetons per cell
Energy relative to the lowest polymorph listed for this composition   4.2 meV per atom

Lattice parameters (Å, degrees): 4.820 4.820 7.001 110.13 110.13 90.00
Fractional positions:
La 0.750 0.250 0.500
La 0.500 0.500 0.000
O 0.699 0.699 0.398
Sb 0.000 0.000 0.000
O 0.301 0.301 0.602
La 0.250 0.750 0.500

=====

No. 18
A plane-wave DFT calculation with PBE was carried out for La3SbO3 after structural relaxation.

Properties
Energy   -105.99 eV for the cell shown
Formation energy from raw total energies   -2745 meV per atom
SG   R-3 (148)
Total moment   0.00 Bohr magnetons per cell
Energy relative to the lowest polymorph listed for this composition   105.2 meV per atom

Lattice parameters (Å, degrees): 7.108 7.108 8.740 66.01 66.01 60.00
Fractional positions:
O 0.803 0.134 0.618
La 0.751 0.454 0.697
La 0.249 0.546 0.303
La 0.901 0.249 0.303
O 0.555 0.197 0.382
Sb 0.333 0.333 0.000
La 0.099 0.751 0.697
La 0.454 0.099 0.697
O 0.866 0.555 0.382
O 0.197 0.866 0.382
La 0.546 0.901 0.303
O 0.134 0.445 0.618
O 0.445 0.803 0.618
Sb 0.667 0.667 0.000